[1]
The following is a DFT calculation (meta-GGA SCAN) of a PBEsol-optimized structure of Sc2Be2Cd.

Space-group type: P4/mbm, No. 127
E_tot, eV/f.u.: -68.50

Cell: 3.6683 6.6739 6.6739 Å, 90.00 90.00 90.00°
Closest atoms and distances in Å follow each position.
Sites, in units of the cell vectors:
1 Sc 0.5000 0.1692 0.6692  6 Be 2.68-2.71
2 Sc 0.5000 0.6692 0.8308  6 Be 2.68-2.71
3 Sc 0.5000 0.8308 0.3308  6 Be 2.68-2.71
4 Sc 0.5000 0.3308 0.1692  6 Be 2.68-2.71
5 Be 0.0000 0.3809 0.8809  1 Be 2.25
6 Be 0.0000 0.8809 0.6191  1 Be 2.25
7 Be 0.0000 0.6191 0.1191  1 Be 2.25
8 Be 0.0000 0.1191 0.3809  1 Be 2.25
9 Cd 0.0000 0.0000 0.0000  4 Be 2.66
10 Cd 0.0000 0.5000 0.5000  4 Be 2.66

---

[2]
The following is a DFT calculation (meta-GGA SCAN) of a PBEsol-optimized structure of NdTlS2.

Space-group type: R-3m, No. 166
Formation energy without anion corrections, meV per atom: -1655

Cell: 4.1055 4.1055 7.6997 Å, 74.54 74.54 60.00°
Closest atoms and distances in Å follow each position.
Sites, in units of the cell vectors:
1 Tl 0.5000 0.5000 0.5000  6 S 3.19
2 Nd 0.0000 0.0000 0.0000  6 S 2.82
3 S 0.7363 0.7363 0.7911  3 Nd 2.82
4 S 0.2637 0.2637 0.2089  3 Nd 2.82

---

[3]
The following is a DFT calculation (meta-GGA SCAN) of a PBEsol-optimized structure of ZnRePI2.

Space-group type: P4/mmm, No. 123
Formation energy without anion corrections, meV per atom: 1520

Cell: 4.5656 5.5458 5.5458 Å, 90.00 90.00 90.00°
Closest atoms and distances in Å follow each position.
Sites, in units of the cell vectors:
1 I 0.0000 0.0000 0.5000  2 P 2.77
2 I 0.0000 0.5000 0.0000  2 P 2.77
3 Re 0.5000 0.5000 0.5000  8 I 3.59, 4 Zn 3.92
4 Zn 0.5000 0.0000 0.0000  2 P 2.28
5 P 0.0000 0.0000 0.0000  2 Zn 2.28

---

[4]
The following is a DFT calculation (meta-GGA SCAN) of a PBEsol-optimized structure of LiV3CrO8.

Space-group type: P1, No. 1
Formation energy without anion corrections, meV per atom: -2488

Cell: 5.2008 5.7073 10.2837 Å, 97.03 104.22 107.40°
Closest atoms and distances in Å follow each position.
Sites, in units of the cell vectors:
1 Li 0.2528 0.8716 0.2466  6 O 2.07-2.18
2 Li 0.7461 0.6327 0.7490  6 O 2.12-2.25
3 V 0.6730 0.1981 0.1230  6 O 1.82-2.02
4 V 0.8305 0.5531 0.3778  6 O 1.87-2.02
5 V 0.1690 0.9537 0.6176  6 O 1.84-2.05
6 V 0.3278 0.3017 0.8816  6 O 1.84-2.05
7 V 0.6259 0.6797 0.1181  6 O 1.89-2.00
8 V 0.8798 0.0714 0.3823  6 O 1.85-2.01
9 Cr 0.1192 0.4336 0.6227  6 O 1.93-1.97
10 Cr 0.3751 0.8176 0.8787  6 O 1.93-1.97
11 O 0.3967 0.7722 0.6908  1 V 1.88, 2 Cr 1.95
12 O 0.6402 0.1564 0.9402  2 V 1.82-2.03, 1 Cr 1.93
13 O 0.9104 0.5363 0.1950  3 V 1.89-2.02, 1 Li 2.09
14 O 0.1420 0.8909 0.4314  3 V 1.87-2.02
15 O 0.4017 0.2799 0.6940  2 V 1.84-2.05, 1 Cr 1.97
16 O 0.6345 0.6390 0.9340  2 V 1.89-2.01, 1 Cr 1.94
17 O 0.9124 0.0224 0.1906  3 V 1.88-2.01
18 O 0.1258 0.3996 0.4346  2 V 1.85-1.99, 1 Cr 1.93
19 O 0.8566 0.6079 0.5642  2 V 1.87-2.05, 1 Cr 1.94
20 O 0.0973 0.9703 0.8054  2 V 1.86-2.05, 1 Cr 1.95
21 O 0.3627 0.3435 0.0664  3 V 1.84-2.02
22 O 0.5915 0.7300 0.3080  3 V 1.89-2.00
23 O 0.8631 0.0890 0.5614  2 V 1.86-1.96, 1 Cr 1.94
24 O 0.0953 0.4758 0.8110  1 V 1.86, 2 Cr 1.96-1.97
25 O 0.3753 0.8590 0.0695  2 V 1.90-1.99, 1 Cr 1.95, 1 Li 2.07
26 O 0.5954 0.2145 0.3059  3 V 1.89-2.02, 1 Li 2.11

---

[5]
The following is a DFT calculation (meta-GGA SCAN) of a PBEsol-optimized structure of PrHo3.

Space-group type: Pm-3m, No. 221
ΔE to the lowest computed polymorph, meV per atom: 5

Cell: 4.9450 4.9450 4.9450 Å, 90.00 90.00 90.00°
Closest atoms and distances in Å follow each position.
Sites, in units of the cell vectors:
1 Pr 0.0000 0.0000 0.0000  12 Ho 3.50
2 Ho 0.0000 0.5000 0.5000  4 Pr 3.50, 8 Ho 3.50
3 Ho 0.5000 0.0000 0.5000  4 Pr 3.50, 8 Ho 3.50
4 Ho 0.5000 0.5000 0.0000  4 Pr 3.50, 8 Ho 3.50

---

[6]
The following is a DFT calculation (meta-GGA SCAN) of a PBEsol-optimized structure of ZnNi3.

Space-group type: Pnma, No. 62
E_tot, eV/f.u.: -62.30

Cell: 4.3215 4.9551 8.1144 Å, 90.00 90.00 90.00°
Closest atoms and distances in Å follow each position.
Sites, in units of the cell vectors:
1 Ni 0.5823 0.1232 0.7500  4 Zn 2.44-2.51, 8 Ni 2.47-2.50
2 Ni 0.2451 0.6279 0.0012  9 Ni 2.47-2.54, 3 Zn 2.47-2.51
3 Ni 0.2451 0.6279 0.4988  9 Ni 2.47-2.54, 3 Zn 2.47-2.51
4 Ni 0.2549 0.1279 0.5012  9 Ni 2.47-2.54, 3 Zn 2.47-2.51
5 Ni 0.2549 0.1279 0.9988  9 Ni 2.47-2.54, 3 Zn 2.47-2.51
6 Ni 0.9177 0.6232 0.2500  4 Zn 2.44-2.51, 8 Ni 2.47-2.50
7 Ni 0.0823 0.3768 0.7500  4 Zn 2.44-2.51, 8 Ni 2.47-2.50
8 Ni 0.7451 0.8721 0.0012  9 Ni 2.47-2.54, 3 Zn 2.47-2.51
9 Ni 0.7451 0.8721 0.4988  9 Ni 2.47-2.54, 3 Zn 2.47-2.51
10 Ni 0.7549 0.3721 0.5012  9 Ni 2.47-2.54, 3 Zn 2.47-2.51
11 Ni 0.7549 0.3721 0.9988  9 Ni 2.47-2.54, 3 Zn 2.47-2.51
12 Ni 0.4177 0.8768 0.2500  4 Zn 2.44-2.51, 8 Ni 2.47-2.50
13 Zn 0.4208 0.3838 0.2500  10 Ni 2.44-2.51, 2 Zn 2.54
14 Zn 0.0792 0.8838 0.7500  10 Ni 2.44-2.51, 2 Zn 2.54
15 Zn 0.9208 0.1162 0.2500  10 Ni 2.44-2.51, 2 Zn 2.54
16 Zn 0.5792 0.6162 0.7500  10 Ni 2.44-2.51, 2 Zn 2.54

---

[7]
The following is a DFT calculation (meta-GGA SCAN) of a PBEsol-optimized structure of CdMoRu2.

Space-group type: P4/mmm, No. 123
E_tot, eV/f.u.: -134.43

Cell: 3.0495 3.0495 6.6014 Å, 90.00 90.00 90.00°
Closest atoms and distances in Å follow each position.
Sites, in units of the cell vectors:
1 Cd 0.5000 0.5000 0.0000  8 Ru 2.83, 4 Cd 3.05
2 Mo 0.5000 0.5000 0.5000  8 Ru 2.61
3 Ru 0.0000 0.0000 0.7219  4 Mo 2.61, 4 Cd 2.83
4 Ru 0.0000 0.0000 0.2781  4 Mo 2.61, 4 Cd 2.83

---

[8]
The following is a DFT calculation (meta-GGA SCAN) of a PBEsol-optimized structure of BePH4NO4.

Space-group type: Pna2_1, No. 33
E_tot, eV/f.u.: -81.74

Cell: 4.9305 8.6190 8.6924 Å, 90.00 90.00 90.00°
Closest atoms and distances in Å follow each position.
Sites, in units of the cell vectors:
1 Be 0.1650 0.9065 0.1755  4 O 1.61-1.63
2 Be 0.6650 0.0935 0.8245  4 O 1.61-1.63
3 Be 0.1650 0.5935 0.6755  4 O 1.61-1.63
4 Be 0.6650 0.4065 0.3245  4 O 1.61-1.63
5 H 0.5893 0.8723 0.6018  1 N 1.06
6 H 0.0893 0.1277 0.3982  1 N 1.06
7 H 0.5893 0.6277 0.1018  1 N 1.06
8 H 0.0893 0.3723 0.8982  1 N 1.06
9 H 0.6024 0.8647 0.4009  1 N 1.05
10 H 0.1024 0.1353 0.5991  1 N 1.05
11 H 0.6024 0.6353 0.9009  1 N 1.05
12 H 0.1024 0.3647 0.0991  1 N 1.05
13 H 0.5176 0.7084 0.5062  1 N 1.04
14 H 0.0176 0.2916 0.4938  1 N 1.04
15 H 0.5176 0.7916 0.0062  1 N 1.04
16 H 0.0176 0.2084 0.9938  1 N 1.04
17 H 0.8423 0.7703 0.5121  1 N 1.04
18 H 0.3423 0.2297 0.4879  1 N 1.04
19 H 0.8423 0.7297 0.0121  1 N 1.04
20 H 0.3423 0.2703 0.9879  1 N 1.04
21 N 0.6420 0.8056 0.5045  4 H 1.04-1.06
22 N 0.1420 0.1944 0.4955  4 H 1.04-1.06
23 N 0.6420 0.6944 0.0045  4 H 1.04-1.06
24 N 0.1420 0.3056 0.9955  4 H 1.04-1.06
25 O 0.1590 0.8925 0.9894  1 P 1.53, 1 Be 1.62
26 O 0.6590 0.1075 0.0106  1 P 1.53, 1 Be 1.62
27 O 0.1590 0.6075 0.4894  1 P 1.53, 1 Be 1.62
28 O 0.6590 0.3925 0.5106  1 P 1.53, 1 Be 1.62
29 O 0.4543 0.9624 0.7620  1 P 1.55, 1 Be 1.63, 1 H 1.73
30 O 0.9543 0.0376 0.2380  1 P 1.55, 1 Be 1.63, 1 H 1.73
31 O 0.4543 0.5376 0.2620  1 P 1.55, 1 Be 1.63, 1 H 1.73
32 O 0.9543 0.4624 0.7380  1 P 1.55, 1 Be 1.63, 1 H 1.73
33 O 0.9684 0.0469 0.7654  1 P 1.55, 1 Be 1.63
34 O 0.4684 0.9531 0.2346  1 P 1.55, 1 Be 1.63
35 O 0.9684 0.4531 0.2654  1 P 1.55, 1 Be 1.63
36 O 0.4684 0.5469 0.7346  1 P 1.55, 1 Be 1.63
37 O 0.0828 0.7639 0.7360  1 P 1.53, 1 Be 1.61
38 O 0.5828 0.2361 0.2640  1 P 1.53, 1 Be 1.61
39 O 0.0828 0.7361 0.2360  1 P 1.53, 1 Be 1.61
40 O 0.5828 0.2639 0.7640  1 P 1.53, 1 Be 1.61
41 P 0.1649 0.9154 0.8144  4 O 1.53-1.55
42 P 0.6649 0.0846 0.1856  4 O 1.53-1.55
43 P 0.1649 0.5846 0.3144  4 O 1.53-1.55
44 P 0.6649 0.4154 0.6856  4 O 1.53-1.55

---

[9]
The following is a DFT calculation (meta-GGA SCAN) of a PBEsol-optimized structure of Al2ReNi.

Space-group type: P4/mmm, No. 123
ΔE to the lowest computed polymorph, meV per atom: 0

Cell: 3.1003 4.0963 4.0952 Å, 90.00 90.00 89.99°
Closest atoms and distances in Å follow each position.
Sites, in units of the cell vectors:
1 Re 0.3750 0.8750 0.5000  8 Al 2.57
2 Al 0.8750 0.8750 0.0000  4 Ni 2.57, 4 Re 2.57
3 Al 0.8752 0.3750 0.5000  4 Ni 2.57, 4 Re 2.57
4 Ni 0.3748 0.3749 0.0000  8 Al 2.57

---

[10]
The following is a DFT calculation (meta-GGA SCAN) of a PBEsol-optimized structure of Ta2ZnNi2.

Space-group type: P4/mbm, No. 127
E_tot, eV/f.u.: -179.98

Cell: 3.1614 6.6751 6.6751 Å, 90.00 90.00 90.00°
Closest atoms and distances in Å follow each position.
Sites, in units of the cell vectors:
1 Ni 0.0000 0.3739 0.8739  1 Ni 2.38, 6 Ta 2.46-2.57, 2 Zn 2.63
2 Ni 0.0000 0.8739 0.6261  1 Ni 2.38, 6 Ta 2.46-2.57, 2 Zn 2.63
3 Ni 0.0000 0.6261 0.1261  1 Ni 2.38, 6 Ta 2.46-2.57, 2 Zn 2.63
4 Ni 0.0000 0.1261 0.3739  1 Ni 2.38, 6 Ta 2.46-2.57, 2 Zn 2.63
5 Zn 0.0000 0.0000 0.0000  4 Ni 2.63, 8 Ta 2.93
6 Zn 0.0000 0.5000 0.5000  4 Ni 2.63, 8 Ta 2.93
7 Ta 0.5000 0.1742 0.6742  6 Ni 2.46-2.57
8 Ta 0.5000 0.6742 0.8258  6 Ni 2.46-2.57
9 Ta 0.5000 0.8258 0.3258  6 Ni 2.46-2.57
10 Ta 0.5000 0.3258 0.1742  6 Ni 2.46-2.57

---

[11]
The following is a DFT calculation (meta-GGA SCAN) of a PBEsol-optimized structure of Na2SbMoN.

Space-group type: P4/mmm, No. 123
Formation energy without anion corrections, meV per atom: 1403

Cell: 5.2062 5.9679 5.9679 Å, 90.00 90.00 90.00°
Closest atoms and distances in Å follow each position.
Sites, in units of the cell vectors:
1 Sb 0.0000 0.0000 0.0000  2 Mo 2.60
2 Mo 0.5000 0.0000 0.0000  2 Sb 2.60
3 N 0.5000 0.5000 0.5000  8 Na 3.96, 4 Mo 4.22
4 Na 0.0000 0.0000 0.5000  2 Sb 2.98
5 Na 0.0000 0.5000 0.0000  2 Sb 2.98

---

[12]
The following is a DFT calculation (meta-GGA SCAN) of a PBEsol-optimized structure of MgSn2Pb2.

Space-group type: I4/mmm, No. 139
ΔE to the lowest computed polymorph, meV per atom: 110

Cell: 4.2734 4.2734 8.6590 Å, 104.29 104.29 90.00°
Closest atoms and distances in Å follow each position.
Sites, in units of the cell vectors:
1 Pb 0.4024 0.4024 0.8048  1 Pb 3.17, 4 Sn 3.27, 4 Mg 3.41
2 Pb 0.5976 0.5976 0.1952  1 Pb 3.17, 4 Sn 3.27, 4 Mg 3.41
3 Mg 0.0000 0.0000 0.0000  8 Pb 3.41
4 Sn 0.2500 0.7500 0.5000  4 Sn 3.02, 4 Pb 3.27
5 Sn 0.7500 0.2500 0.5000  4 Sn 3.02, 4 Pb 3.27